Run a
A relaxed Ba3AlF9 crystal. Source: Alexandria, functional PBE.

Unit cell a=5.6242 b=15.4346 c=20.1618 alpha=90.00 beta=90.00 gamma=90.00
Each line ends with the local moment (μB).
Positions (direct):
Ba  0.2500  0.1914  0.1061  0.00
Ba  0.7500  0.8086  0.8939  0.00
Ba  0.7500  0.6914  0.3939  0.00
Ba  0.2500  0.3086  0.6061  0.00
Ba  0.2500  0.7919  0.2432  0.00
Ba  0.7500  0.2081  0.7568  0.00
Ba  0.7500  0.2919  0.2568  0.00
Ba  0.2500  0.7081  0.7432  0.00
Ba  0.2500  0.5056  0.3226  0.00
Ba  0.7500  0.4944  0.6774  0.00
Ba  0.7500  0.0056  0.1774  0.00
Ba  0.2500  0.9944  0.8226  0.00
Ba  0.2500  0.9065  0.0299  0.00
Ba  0.7500  0.0935  0.9701  0.00
Ba  0.7500  0.4065  0.4701  0.00
Ba  0.2500  0.5935  0.5299  0.00
Ba  0.2500  0.0744  0.3173  0.00
Ba  0.7500  0.9256  0.6827  0.00
Ba  0.7500  0.5744  0.1827  0.00
Ba  0.2500  0.4256  0.8173  0.00
Ba  0.2500  0.6231  0.9975  0.00
Ba  0.7500  0.3769  0.0025  0.00
Ba  0.7500  0.1231  0.5025  0.00
Ba  0.2500  0.8769  0.4975  0.00
Al  0.2500  0.4261  0.1197  0.00
Al  0.7500  0.5739  0.8803  0.00
Al  0.7500  0.9261  0.3803  0.00
Al  0.2500  0.0739  0.6197  0.00
Al  0.2500  0.2778  0.3880  0.00
Al  0.7500  0.7222  0.6120  0.00
Al  0.7500  0.7778  0.1120  0.00
Al  0.2500  0.2222  0.8880  0.00
F  0.2500  0.3206  0.4716  0.00
F  0.7500  0.6794  0.5284  0.00
F  0.7500  0.8206  0.0284  0.00
F  0.2500  0.1794  0.9716  0.00
F  0.2500  0.2487  0.3001  0.00
F  0.7500  0.7513  0.6999  0.00
F  0.7500  0.7487  0.1999  0.00
F  0.2500  0.2513  0.8001  0.00
F  0.2500  0.5033  0.1887  0.00
F  0.7500  0.4967  0.8113  0.00
F  0.7500  0.0033  0.3113  0.00
F  0.2500  0.9967  0.6887  0.00
F  0.2500  0.3561  0.0459  0.00
F  0.7500  0.6439  0.9541  0.00
F  0.7500  0.8561  0.4541  0.00
F  0.2500  0.1439  0.5459  0.00
F  0.2500  0.9621  0.2268  -0.05
F  0.7500  0.0379  0.7732  -0.05
F  0.7500  0.4621  0.2732  -0.05
F  0.2500  0.5379  0.7268  -0.05
F  0.2500  0.7256  0.4468  -0.03
F  0.7500  0.2744  0.5532  -0.03
F  0.7500  0.2256  0.0532  -0.03
F  0.2500  0.7744  0.9468  -0.03
F  0.9916  0.1464  0.2131  -0.07
F  0.4916  0.8536  0.7869  -0.07
F  0.0084  0.6464  0.2869  -0.07
F  0.5084  0.3536  0.7131  -0.07
F  0.0084  0.8536  0.7869  -0.07
F  0.5084  0.1464  0.2131  -0.07
F  0.9916  0.3536  0.7131  -0.07
F  0.4916  0.6464  0.2869  -0.07
F  0.0057  0.0450  0.0728  -0.01
F  0.5057  0.9550  0.9272  -0.01
F  0.9943  0.5450  0.4272  -0.01
F  0.4943  0.4550  0.5728  -0.01
F  0.9943  0.9550  0.9272  -0.01
F  0.4943  0.0450  0.0728  -0.01
F  0.0057  0.4550  0.5728  -0.01
F  0.5057  0.5450  0.4272  -0.01
F  0.0189  0.3571  0.3658  0.00
F  0.5189  0.6429  0.6342  0.00
F  0.9811  0.8571  0.1342  0.00
F  0.4811  0.1429  0.8658  0.00
F  0.9811  0.6429  0.6342  0.00
F  0.4811  0.3571  0.3658  0.00
F  0.0189  0.1429  0.8658  0.00
F  0.5189  0.8571  0.1342  0.00
F  0.0184  0.4936  0.0794  0.00
F  0.5184  0.5064  0.9206  0.00
F  0.9816  0.9936  0.4206  0.00
F  0.4816  0.0064  0.5794  0.00
F  0.9816  0.5064  0.9206  0.00
F  0.4816  0.4936  0.0794  0.00
F  0.0184  0.0064  0.5794  0.00
F  0.5184  0.9936  0.4206  0.00
F  0.0227  0.3574  0.1569  0.00
F  0.5227  0.6426  0.8431  0.00
F  0.9773  0.8574  0.3431  0.00
F  0.4773  0.1426  0.6569  0.00
F  0.9773  0.6426  0.8431  0.00
F  0.4773  0.3574  0.1569  0.00
F  0.0227  0.1426  0.6569  0.00
F  0.5227  0.8574  0.3431  0.00
F  0.0202  0.1965  0.4033  0.00
F  0.5202  0.8035  0.5967  0.00
F  0.9798  0.6965  0.0967  0.00
F  0.4798  0.3035  0.9033  0.00
F  0.9798  0.8035  0.5967  0.00
F  0.4798  0.1965  0.4033  0.00
F  0.0202  0.3035  0.9033  0.00
F  0.5202  0.6965  0.0967  0.00

Results
Symmetry: No. 62
V (Å³ per atom): 16.83
Total magnetization (μB/atom): 0.010


Run b
A relaxed Ba3AlF9 crystal. Source: Alexandria, functional PBE.

Unit cell a=7.6610 b=14.7554 c=15.1037 alpha=90.00 beta=90.00 gamma=90.00
Each line ends with the local moment (μB).
Positions (direct):
Ba  0.7373  0.4017  0.1106  0.00
Ba  0.0000  0.8570  0.0000  0.00
Ba  0.2419  0.1982  0.6877  0.00
Ba  0.2419  0.6982  0.8123  0.00
Ba  0.7494  0.2798  0.7715  0.00
Ba  0.4933  0.0048  0.1451  0.00
Ba  0.2506  0.2798  0.2285  0.00
Ba  0.2627  0.4017  0.8894  0.00
Ba  0.5067  0.0048  0.8549  0.00
Ba  0.5067  0.5048  0.6451  0.00
Ba  0.4933  0.5048  0.3549  0.00
Ba  0.7719  0.0697  0.5952  0.00
Ba  0.0000  0.1772  0.0000  0.00
Ba  0.2281  0.0697  0.4048  0.00
Ba  0.0000  0.6772  0.5000  0.00
Ba  0.7719  0.5697  0.9048  0.00
Ba  0.7581  0.6982  0.1877  0.00
Ba  0.0000  0.3570  0.5000  0.00
Ba  0.2506  0.7798  0.2715  0.00
Ba  0.7581  0.1982  0.3123  0.00
Ba  0.2627  0.9017  0.6106  0.00
Ba  0.7494  0.7798  0.7285  0.00
Ba  0.2281  0.5697  0.0952  0.00
Ba  0.7373  0.9017  0.3894  0.00
Al  0.5000  0.8104  0.0000  0.00
Al  0.5000  0.2065  0.0000  0.00
Al  0.9837  0.4844  0.3003  0.00
Al  0.5000  0.7065  0.5000  0.00
Al  0.0163  0.9844  0.8003  0.00
Al  0.0163  0.4844  0.6997  0.00
Al  0.9837  0.9844  0.1997  0.00
Al  0.5000  0.3104  0.5000  0.00
F  0.6705  0.2886  0.9727  0.00
F  0.5000  0.4931  0.0000  0.05
F  0.9342  0.2518  0.1587  0.04
F  0.4378  0.2093  0.8824  0.00
F  0.2183  0.5334  0.7450  0.00
F  0.6590  0.9034  0.0085  0.00
F  0.1499  0.8802  0.8166  0.00
F  0.6725  0.2270  0.4882  0.00
F  0.3410  0.4034  0.5085  0.00
F  0.5622  0.7093  0.3824  0.00
F  0.3400  0.1160  0.0229  0.00
F  0.6705  0.7886  0.5273  0.00
F  0.3295  0.2886  0.0273  0.00
F  0.1380  0.5655  0.9265  0.05
F  0.3295  0.7886  0.4727  0.00
F  0.9260  0.2283  0.6282  0.01
F  0.4493  0.9210  0.2982  0.02
F  0.0740  0.7283  0.1282  0.01
F  0.0751  0.5222  0.5898  0.00
F  0.5000  0.9931  0.5000  0.05
F  0.9342  0.7518  0.3413  0.04
F  0.3400  0.6160  0.4771  0.00
F  0.6600  0.1160  0.9771  0.00
F  0.0000  0.3744  0.0000  0.16
F  0.0658  0.2518  0.8413  0.04
F  0.1067  0.0868  0.2220  0.01
F  0.6590  0.4034  0.4915  0.00
F  0.5190  0.3123  0.6229  0.00
F  0.0477  0.4410  0.1907  0.00
F  0.0000  0.8744  0.5000  0.16
F  0.9249  0.5222  0.4102  0.00
F  0.4378  0.7093  0.6176  0.00
F  0.5622  0.2093  0.1176  0.00
F  0.8933  0.0868  0.7780  0.01
F  0.9523  0.9410  0.6907  0.00
F  0.8501  0.3802  0.3166  0.00
F  0.0751  0.0222  0.9102  0.00
F  0.9260  0.7283  0.8718  0.01
F  0.7817  0.0334  0.2450  0.00
F  0.9249  0.0222  0.0898  0.00
F  0.4810  0.3123  0.3771  0.00
F  0.8501  0.8802  0.1834  0.00
F  0.1724  0.9256  0.1545  0.00
F  0.5190  0.8123  0.8771  0.00
F  0.0740  0.2283  0.3718  0.01
F  0.4434  0.1344  0.2830  0.02
F  0.3410  0.9034  0.9915  0.00
F  0.1724  0.4256  0.3455  0.00
F  0.5566  0.1344  0.7170  0.02
F  0.3275  0.2270  0.5118  0.00
F  0.8276  0.4256  0.6545  0.00
F  0.8620  0.0655  0.4265  0.05
F  0.3275  0.7270  0.9882  0.00
F  0.5566  0.6344  0.7830  0.02
F  0.1067  0.5868  0.2780  0.01
F  0.5507  0.4210  0.7982  0.02
F  0.4493  0.4210  0.2018  0.02
F  0.1499  0.3802  0.6834  0.00
F  0.2183  0.0334  0.7550  0.00
F  0.9523  0.4410  0.8093  0.00
F  0.1380  0.0655  0.5735  0.05
F  0.8276  0.9256  0.8455  0.00
F  0.6600  0.6160  0.5229  0.00
F  0.0658  0.7518  0.6587  0.04
F  0.0477  0.9410  0.3093  0.00
F  0.7817  0.5334  0.2550  0.00
F  0.6725  0.7270  0.0118  0.00
F  0.8933  0.5868  0.7220  0.01
F  0.4810  0.8123  0.1229  0.00
F  0.5507  0.9210  0.7018  0.02
F  0.8620  0.5655  0.0735  0.05
F  0.4434  0.6344  0.2170  0.02

Results
Symmetry: No. 30
V (Å³ per atom): 16.42
Total magnetization (μB/atom): 0.012


Run c
A relaxed Ba3AlF9 crystal. Source: Alexandria, functional PBE.

Unit cell a=5.6400 b=10.2350 c=15.0817 alpha=90.00 beta=90.00 gamma=90.00
Positions (direct):
Ba  0.2500  0.8306  0.4602
Ba  0.7500  0.2651  0.8193
Ba  0.7500  0.1694  0.5398
Ba  0.2500  0.4464  0.6008
Ba  0.2500  0.9464  0.8992
Ba  0.7500  0.7651  0.6807
Ba  0.2500  0.7349  0.1807
Ba  0.2500  0.2349  0.3193
Ba  0.7500  0.6694  0.9602
Ba  0.2500  0.3306  0.0398
Ba  0.7500  0.5536  0.3992
Ba  0.7500  0.0536  0.1008
Al  0.2500  0.5235  0.8298
Al  0.2500  0.0235  0.6702
Al  0.7500  0.9765  0.3298
Al  0.7500  0.4765  0.1702
F  0.0180  0.9565  0.5949
F  0.9820  0.0435  0.4051
F  0.4788  0.0828  0.7435
F  0.2500  0.1728  0.6027
F  0.7500  0.8272  0.3973
F  0.0033  0.8512  0.0438
F  0.2500  0.1459  0.1521
F  0.4820  0.9565  0.5949
F  0.5033  0.6488  0.5438
F  0.7500  0.3541  0.6521
F  0.0033  0.3512  0.4562
F  0.7500  0.8541  0.8479
F  0.5212  0.9172  0.2565
F  0.4788  0.5828  0.7565
F  0.9788  0.4172  0.2435
F  0.5212  0.4172  0.2435
F  0.0180  0.4565  0.9051
F  0.9820  0.5435  0.0949
F  0.4967  0.3512  0.4562
F  0.2500  0.6459  0.3479
F  0.4967  0.8512  0.0438
F  0.7500  0.6351  0.2263
F  0.7500  0.3272  0.1027
F  0.2500  0.8649  0.7263
F  0.0212  0.0828  0.7435
F  0.5180  0.0435  0.4051
F  0.5180  0.5435  0.0949
F  0.2500  0.3649  0.7737
F  0.9967  0.1488  0.9562
F  0.9967  0.6488  0.5438
F  0.0212  0.5828  0.7565
F  0.2500  0.6728  0.8973
F  0.4820  0.4565  0.9051
F  0.5033  0.1488  0.9562
F  0.9788  0.9172  0.2565
F  0.7500  0.1351  0.2737

Results
Symmetry: No. 62
V (Å³ per atom): 16.74
Total magnetization (μB/atom): 0.000


Most stable pick: run c. Distance to second place: 5 meV/atom.


Run a
A relaxed BaAlOF2 crystal. Source: Alexandria, functional PBE.

Unit cell a=4.4947 b=4.4947 c=3.7280 alpha=90.00 beta=90.00 gamma=90.00
Each line ends with the local moment (μB).
Positions (direct):
F  0.0000  0.5000  0.0000  0.00
F  0.5000  0.0000  0.0000  0.00
Ba  0.5000  0.5000  0.5000  0.06
O  0.0000  0.0000  0.5000  0.00
Al  0.0000  0.0000  0.0000  0.00

Results
Symmetry: No. 123
V (Å³ per atom): 15.06
Total magnetization (μB/atom): 0.025


Run b
A relaxed BaAlOF2 crystal. Source: Alexandria, functional PBE.

Unit cell a=5.0853 b=5.0853 c=4.5651 alpha=90.00 beta=90.00 gamma=90.00
Positions (direct):
F  0.0000  0.5000  0.0000
F  0.5000  0.0000  0.0000
Ba  0.0000  0.0000  0.0000
O  0.0000  0.0000  0.5000
Al  0.5000  0.5000  0.5000

Results
Symmetry: No. 123
V (Å³ per atom): 23.61
Total magnetization (μB/atom): 0.000


Most stable pick: run a. Distance to second place: 1057 meV/atom.